A plane-wave DFT calculation with PBE was carried out for an optimized crystal structure of AgSb3.

Cell: 4.125 6.093 8.608 Å, 90.00 90.00 90.00°
Fractional coordinates of all 8 atoms:
1 Sb 0.000 0.549 0.500
2 Sb 0.000 0.183 0.205
3 Sb 0.500 0.451 0.000
4 Sb 0.500 0.817 0.295
5 Sb 0.500 0.817 0.705
6 Sb 0.000 0.183 0.795
7 Ag 0.000 0.803 0.000
8 Ag 0.500 0.197 0.500

* raw formation energy: 0.16 eV/atom
* space-group type: No. 59
* relative energy among the computed polymorphs: 65 meV per atom
* magnetic moment: 0.0 μB per formula unit